The following is a PBE-GGA calculation of a relaxed structure of K4Pm3HfTe8, from Alexandria.

abc: 8.957 9.774 8.957
angles: 117.29 120.00 90.00
Positions (direct):
K 0.500 0.000 0.000
K 0.500 0.000 0.500
K 0.000 0.000 0.000
K 0.000 0.000 0.500
Pm 0.500 0.500 0.000
Pm 0.500 0.500 0.500
Pm 0.000 0.500 0.500
Hf 0.000 0.500 0.000
Te 0.226 0.708 0.982
Te 0.226 0.708 0.452
Te 0.261 0.282 0.521
Te 0.756 0.708 0.982
Te 0.244 0.292 0.018
Te 0.739 0.718 0.479
Te 0.774 0.292 0.548
Te 0.774 0.292 0.018

Summary:
V	576	Å³/cell
E_form (uncorrected)	-1263	meV per atom